# PBE-GGA Sr2P2Pd3, optimized geometry
# SG   C2/m, No. 12
# ΔH_f (0 K)   -769 meV per atom
# Size of the total moment   0.000 μB per formula unit
# Crystal system   monoclinic
data_Sr2P2Pd3
_symmetry_space_group_name_H-M 'P 1'
_symmetry_Int_Tables_number 1
_symmetry_space_group_name_Hall 'P 1'
_cell_length_a 10.8326
_cell_length_b 4.1520
_cell_length_c 7.0493
_cell_angle_alpha 90.00
_cell_angle_beta 114.04
_cell_angle_gamma 90.00
loop_
_atom_site_label
_atom_site_fract_x
_atom_site_fract_y
_atom_site_fract_z
_atom_site_occupancy
Sr1 0.1280 0.0000 0.2723 1
Sr2 0.3720 0.5000 0.7277 1
Sr3 0.6280 0.5000 0.2723 1
Sr4 0.8720 0.0000 0.7277 1
P1 0.1540 0.0000 0.7348 1
P2 0.3460 0.5000 0.2652 1
P3 0.6540 0.5000 0.7348 1
P4 0.8460 0.0000 0.2652 1
Pd1 0.0000 0.5000 0.5000 1
Pd2 0.1520 0.5000 0.9203 1
Pd3 0.3480 0.0000 0.0797 1
Pd4 0.5000 0.0000 0.5000 1
Pd5 0.6520 0.0000 0.9203 1
Pd6 0.8480 0.5000 0.0797 1